Below is a geometry-optimized Cs2MgUS4 structure, with properties calculated at the PBE-GGA level.

The total energy is -5.0848 eV/atom. The calculation puts the total moment at 2.0 μB per formula unit. The raw formation energy comes out at -9.6 eV/f.u.

The space group is Fddd (No. 70, origin choice 2) and the conventional cell measures 6.516, 14.861 and 25.770 Å, with angles of 90.00, 90.00 and 90.00 degrees. The distinct sites, in fractional coordinates, are Cs at (0.125, 0.125, 0.304), Mg at (0.125, 0.125, 0.625), U at (0.125, 0.125, 0.125) and S at (0.118, 0.279, 0.825).



Below is a geometry-optimized CuRh2Au structure, with properties calculated at the PBE-GGA level.

As for the formation energy: 0.062 eV/atom. The total energy is -5.4570 eV/atom. The calculation puts the total moment at 0.0 μB per formula unit. For the energy above the most stable polymorph in this dataset, the calculation gives 0.0000 eV per atom.

The space group is P4mm (No. 99) and the conventional cell measures 2.783, 2.783 and 7.614 Å, with angles of 90.00, 90.00 and 90.00 degrees. The distinct sites, in fractional coordinates, are Cu at (0.000, 0.000, 0.000), Rh at (0.000, 0.000, 0.469), Rh at (0.500, 0.500, 0.235) and Au at (0.500, 0.500, 0.749).